(1)
Computed, not measured: CeRu2Au after structural relaxation at the PBE level of DFT.

CIF file:
```
data_CeRu2Au
_space_group_name_H-M_alt 'P 4/m m m'
_space_group_IT_number 123
_space_group_name_Hall '-P 4 2'
_cell_length_a 4.2623
_cell_length_b 4.2623
_cell_length_c 3.8817
_cell_angle_alpha 90.00
_cell_angle_beta 90.00
_cell_angle_gamma 90.00
loop_
_atom_site_label
_atom_site_fract_x
_atom_site_fract_y
_atom_site_fract_z
_atom_site_occupancy
Ce1 0.0000 0.0000 0.0000 1
Ru1 0.0000 0.5000 0.5000 1
Au1 0.5000 0.5000 0.0000 1
```

DFT total energy: -7.137 eV/atom


(2)
Computed, not measured: Cs2SrHg2 after structural relaxation at the PBE level of DFT.

CIF file:
```
data_Cs2SrHg2
_space_group_name_H-M_alt 'I 4/m m m'
_space_group_IT_number 139
_space_group_name_Hall '-I 4 2'
_cell_length_a 5.4651
_cell_length_b 5.4651
_cell_length_c 16.4124
_cell_angle_alpha 90.00
_cell_angle_beta 90.00
_cell_angle_gamma 90.00
loop_
_atom_site_label
_atom_site_fract_x
_atom_site_fract_y
_atom_site_fract_z
_atom_site_occupancy
Cs1 0.0000 0.5000 0.2500 1
Sr1 0.0000 0.0000 0.0000 1
Hg1 0.0000 0.0000 0.4115 1
```

DFT total energy: -0.844 eV/atom


Going through the records in order, we get calculated formation energy values of -0.196; -0.046 eV per atom.